Density functional theory data (PBE) for an optimized crystal structure of Cd2NiBr.

Output
The density of states at the Fermi level comes out at 1.84 states/eV per cell. The value obtained for the energy above the most stable polymorph in this dataset is 56 meV/atom. Its total magnetization is 0.0 μB/cell. The crystal system is trigonal. For the total energy, the calculation gives -9.156 eV per cell. The raw formation energy comes out at 32 meV/atom.

a b c (Å): 8.3400 8.3400 8.3400
angles (deg): 24.30 24.30 24.30
With the nearest neighbours (Å) after each atom.
Sites, in units of the cell vectors:
Br (0.7500, 0.7500, 0.7500)  6 Cd 3.06
Cd (0.9886, 0.9886, 0.9886)  3 Ni 2.68
Cd (0.5114, 0.5114, 0.5114)  3 Ni 2.68
Ni (0.2500, 0.2500, 0.2500)  6 Cd 2.68